A plane-wave DFT calculation with PBE was carried out for a geometry-optimized Zr2TlCd2 structure.

Unit cell a=8.607 b=8.607 c=3.289 alpha=90.00 beta=90.00 gamma=90.00
Fractional positions:
Zr1 0.124 0.376 0.000
Zr2 0.376 0.876 0.000
Zr3 0.624 0.124 0.000
Zr4 0.876 0.624 0.000
Tl1 0.000 0.000 0.000
Tl2 0.500 0.500 0.000
Cd1 0.172 0.672 0.500
Cd2 0.328 0.172 0.500
Cd3 0.672 0.828 0.500
Cd4 0.828 0.328 0.500

Values from the calculation:
Crystal system   tetragonal
Energy of formation   0.163 eV per atom
Polymorph energy (0 for the lowest one)   208 meV/atom

---

A plane-wave DFT calculation with PBE was carried out for a geometry-optimized ZrTlCd structure.

Unit cell a=4.787 b=4.787 c=4.787 alpha=60.00 beta=60.00 gamma=60.00
Fractional positions:
Zr1 0.000 0.000 0.000
Tl1 0.750 0.750 0.750
Cd1 0.500 0.500 0.500

Values from the calculation:
Crystal system   cubic
Energy of formation   0.317 eV per atom

---

A plane-wave DFT calculation with PBE was carried out for a geometry-optimized ZrTl2Cd structure.

Unit cell a=5.556 b=5.556 c=3.266 alpha=90.00 beta=90.00 gamma=107.40
Fractional positions:
Zr1 0.000 0.000 0.000
Tl1 0.000 0.500 0.500
Tl2 0.500 0.000 0.500
Cd1 0.500 0.500 0.000

Values from the calculation:
Crystal system   orthorhombic
Energy of formation   0.038 eV per atom
Polymorph energy (0 for the lowest one)   42 meV/atom

---

A plane-wave DFT calculation with PBE was carried out for a geometry-optimized Zr6TlCd structure.

Unit cell a=4.476 b=4.476 c=8.945 alpha=90.00 beta=90.00 gamma=90.00
Fractional positions:
Zr1 0.000 0.000 0.000
Zr2 0.000 0.000 0.500
Zr3 0.000 0.500 0.248
Zr4 0.000 0.500 0.752
Zr5 0.500 0.000 0.248
Zr6 0.500 0.000 0.752
Tl1 0.500 0.500 0.500
Cd1 0.500 0.500 0.000

Values from the calculation:
Crystal system   tetragonal
Energy of formation   -0.102 eV per atom
Polymorph energy (0 for the lowest one)   11 meV/atom

---

A plane-wave DFT calculation with PBE was carried out for a geometry-optimized Zr4TlCd3 structure.

Unit cell a=10.293 b=6.344 c=5.398 alpha=90.00 beta=90.00 gamma=90.00
Fractional positions:
Zr1 0.000 0.248 0.000
Zr2 0.000 0.752 0.000
Zr3 0.250 0.249 0.355
Zr4 0.250 0.751 0.355
Zr5 0.500 0.248 0.000
Zr6 0.500 0.752 0.000
Zr7 0.750 0.249 0.645
Zr8 0.750 0.751 0.645
Tl1 0.000 0.500 0.500
Tl2 0.500 0.500 0.500
Cd1 0.000 0.000 0.500
Cd2 0.250 0.000 0.851
Cd3 0.250 0.500 0.860
Cd4 0.500 0.000 0.500
Cd5 0.750 0.000 0.149
Cd6 0.750 0.500 0.140

Values from the calculation:
Crystal system   orthorhombic
Energy of formation   -0.089 eV per atom

---

A plane-wave DFT calculation with PBE was carried out for a geometry-optimized ZrTlCd structure.

Unit cell a=3.228 b=3.261 c=15.771 alpha=88.97 beta=89.93 gamma=60.37
Fractional positions:
Zr1 0.176 0.146 0.242
Zr2 0.824 0.854 0.758
Tl1 0.488 0.528 0.594
Tl2 0.512 0.472 0.406
Cd1 0.162 0.176 0.920
Cd2 0.838 0.824 0.080

Values from the calculation:
Crystal system   triclinic
Energy of formation   0.056 eV per atom

---

Which spin magnetization belongs to each record? In order, 0.0, 0.0, 0.0, 0.0, 0.0, 0.0 Bohr magnetons per cell.
Which total energy belongs to each record? In order, -4.0957, -3.6259, -3.5112, -6.9228, -5.0019, -3.8872 eV/atom.